First-principles (GGA-PBE) data for crystalline Na2ZrInO4 at its relaxed geometry, as listed in the Alexandria database.

Output
Raw formation energy, eV/f.u.: -16.26

The structure in CIF format:
```
data_Na2ZrInO4
_chemical_formula_sum 'Na2 Zr1 In1 O4'
_space_group_name_H-M_alt 'P 1 2/m 1'
_space_group_IT_number 10
_cell_length_a 5.948
_cell_length_b 3.302
_cell_length_c 6.037
_cell_angle_alpha 90.00
_cell_angle_beta 110.94
_cell_angle_gamma 90.00
loop_
_space_group_symop_operation_xyz
'x,y,z'
'-x,-y,-z'
'-x,y,-z'
'x,-y,z'
loop_
_atom_site_label
_atom_site_type_symbol
_atom_site_fract_x
_atom_site_fract_y
_atom_site_fract_z
Na1 Na 0.000 0.000 0.000
Na2 Na 0.000 0.500 0.500
Zr1 Zr 0.500 0.000 0.500
In1 In 0.500 0.500 0.000
O1 O 0.289 0.500 0.288
O2 O 0.294 0.000 0.726
```

First-principles (GGA-PBE) data for crystalline NaIn3Os at its relaxed geometry, as listed in the Alexandria database.

Output
Calculated formation energy, eV per atom: 1.612
Energy above the most stable polymorph in this dataset, eV/atom: 1.529

The structure in CIF format:
```
data_NaIn3Os
_chemical_formula_sum 'Na1 In3 Os1'
_space_group_name_H-M_alt 'P m -3 m'
_space_group_IT_number 221
_space_group_name_Hall '-P 4 2 3'
_cell_length_a 5.206
_cell_length_b 5.206
_cell_length_c 5.206
_cell_angle_alpha 90.00
_cell_angle_beta 90.00
_cell_angle_gamma 90.00
loop_
_atom_site_label
_atom_site_type_symbol
_atom_site_fract_x
_atom_site_fract_y
_atom_site_fract_z
Na1 Na 0.000 0.000 0.000
In1 In 0.000 0.000 0.500
Os1 Os 0.500 0.500 0.500
```

In order of appearance, magnetic moment = 0.00; 2.23 μB/f.u..